! PuGaFe (PBE, relaxed); values from VASP
&SYSTEM
  ibrav = 0, nat = 3, ntyp = 3
/
ATOMIC_SPECIES
Fe 55.84 Fe.upf
Ga 69.72 Ga.upf
Pu 244.00 Pu.upf
ATOMIC_POSITIONS crystal
Fe 0.682 0.682 0.364
Ga 0.303 0.303 0.606
Pu 0.015 0.015 0.030
CELL_PARAMETERS angstrom
3.086 0.000 0.000
0.000 3.086 0.000
-1.543 -1.543 5.476
! Total energy ... -8.72 eV/atom
! Symmetry ... No. 107
! D(E_F) ... 1.89 states/eV/atom
! Formation enthalpy at 0 K ... -0.33 eV per formula unit

! Pu11Ga9Fe4 (PBE, relaxed); values from VASP
&SYSTEM
  ibrav = 0, nat = 24, ntyp = 3
/
ATOMIC_SPECIES
Pu 244.00 Pu.upf
Ga 69.72 Ga.upf
Fe 55.84 Fe.upf
ATOMIC_POSITIONS crystal
Pu 0.000 0.587 0.938
Pu 0.000 0.413 0.062
Pu 0.000 0.938 0.587
Pu 0.000 0.062 0.413
Pu 0.000 0.625 0.375
Pu 0.000 0.375 0.625
Pu 0.000 0.842 0.158
Pu 0.000 0.158 0.842
Pu 0.000 0.000 0.000
Pu 0.000 0.693 0.693
Pu 0.000 0.307 0.307
Ga 0.500 0.634 0.164
Ga 0.500 0.366 0.836
Ga 0.500 0.164 0.634
Ga 0.500 0.836 0.366
Ga 0.500 0.776 0.921
Ga 0.500 0.224 0.079
Ga 0.500 0.921 0.776
Ga 0.500 0.079 0.224
Ga 0.500 0.500 0.500
Fe 0.500 0.536 0.761
Fe 0.500 0.464 0.239
Fe 0.500 0.761 0.536
Fe 0.500 0.239 0.464
CELL_PARAMETERS angstrom
-0.238 1.611 -3.226
-1.457 -10.856 -5.313
-10.289 5.488 3.498
! Total energy ... -9.33 eV/atom
! Symmetry ... No. 65
! D(E_F) ... 3.22 states/eV/atom
! Formation enthalpy at 0 K ... -5.23 eV per formula unit

! PuGaFe2 (PBE, relaxed); values from VASP
&SYSTEM
  ibrav = 0, nat = 8, ntyp = 3
/
ATOMIC_SPECIES
Pu 244.00 Pu.upf
Ga 69.72 Ga.upf
Fe 55.84 Fe.upf
ATOMIC_POSITIONS crystal
Pu 0.000 0.250 0.308
Pu 0.000 0.750 0.692
Ga 0.500 0.750 0.343
Ga 0.500 0.250 0.657
Fe 0.000 0.750 0.106
Fe 0.000 0.250 0.894
Fe 0.500 0.000 0.000
Fe 0.500 0.500 0.000
CELL_PARAMETERS angstrom
-3.959 0.734 -0.776
-0.389 -4.354 -2.131
-1.621 -2.666 5.744
! Total energy ... -8.80 eV/atom
! Symmetry ... No. 51
! D(E_F) ... 1.86 states/eV/atom
! Formation enthalpy at 0 K ... -0.91 eV per formula unit

! PuGaFe (PBE, relaxed); values from VASP
&SYSTEM
  ibrav = 0, nat = 6, ntyp = 3
/
ATOMIC_SPECIES
Pu 244.00 Pu.upf
Ga 69.72 Ga.upf
Fe 55.84 Fe.upf
ATOMIC_POSITIONS crystal
Pu 0.302 0.302 0.604
Pu 0.698 0.698 0.396
Ga 0.000 0.243 0.000
Ga 0.000 0.757 0.000
Fe 0.616 0.116 0.232
Fe 0.384 0.884 0.768
CELL_PARAMETERS angstrom
0.422 -0.253 -4.037
-3.110 -4.212 -0.061
-2.648 5.188 1.447
! Total energy ... -8.76 eV/atom
! Symmetry ... No. 71
! D(E_F) ... 2.14 states/eV/atom
! Formation enthalpy at 0 K ... -0.47 eV per formula unit

! PuGaFeRh (PBE, relaxed); values from VASP
&SYSTEM
  ibrav = 0, nat = 4, ntyp = 4
/
ATOMIC_SPECIES
Rh 102.91 Rh.upf
Fe 55.84 Fe.upf
Ga 69.72 Ga.upf
Pu 244.00 Pu.upf
ATOMIC_POSITIONS crystal
Rh 0.250 0.250 0.250
Fe 0.750 0.750 0.750
Ga 0.000 0.000 0.000
Pu 0.500 0.500 0.500
CELL_PARAMETERS angstrom
-2.572 -2.066 -3.103
0.409 -4.460 -0.675
-3.312 -2.801 1.304
! Total energy ... -8.62 eV/atom
! Symmetry ... No. 216
! D(E_F) ... 1.13 states/eV/atom
! Formation enthalpy at 0 K ... -1.29 eV per formula unit

! PuScGaFe (PBE, relaxed); values from VASP
&SYSTEM
  ibrav = 0, nat = 4, ntyp = 4
/
ATOMIC_SPECIES
Sc 44.96 Sc.upf
Fe 55.84 Fe.upf
Ga 69.72 Ga.upf
Pu 244.00 Pu.upf
ATOMIC_POSITIONS crystal
Sc 0.500 0.500 0.500
Fe 0.750 0.750 0.750
Ga 0.250 0.250 0.250
Pu 0.000 0.000 0.000
CELL_PARAMETERS angstrom
4.768 0.000 0.000
2.384 4.130 0.000
2.384 1.377 3.893
! Total energy ... -8.17 eV/atom
! Symmetry ... No. 216
! D(E_F) ... 2.30 states/eV/atom
! Formation enthalpy at 0 K ... -0.52 eV per formula unit

! PuGaFeTc (PBE, relaxed); values from VASP
&SYSTEM
  ibrav = 0, nat = 4, ntyp = 4
/
ATOMIC_SPECIES
Pu 244.00 Pu.upf
Ga 69.72 Ga.upf
Fe 55.84 Fe.upf
Tc 98.00 Tc.upf
ATOMIC_POSITIONS crystal
Pu 0.811 0.811 0.568
Ga 0.020 0.020 0.939
Fe 0.615 0.615 0.156
Tc 0.280 0.280 0.160
CELL_PARAMETERS angstrom
-1.777 0.662 3.719
-3.137 -2.439 1.278
1.542 -3.605 3.721
! Total energy ... -9.03 eV/atom
! Symmetry ... No. 160
! D(E_F) ... 3.19 states/eV/atom
! Energy relative to the lowest polymorph listed for this composition ... 135 meV per atom
! Formation enthalpy at 0 K ... 0.06 eV per formula unit

! PuGaFeTc (PBE, relaxed); values from VASP
&SYSTEM
  ibrav = 0, nat = 4, ntyp = 4
/
ATOMIC_SPECIES
Fe 55.84 Fe.upf
Tc 98.00 Tc.upf
Ga 69.72 Ga.upf
Pu 244.00 Pu.upf
ATOMIC_POSITIONS crystal
Fe 0.250 0.250 0.250
Tc 0.750 0.750 0.750
Ga 0.000 0.000 0.000
Pu 0.500 0.500 0.500
CELL_PARAMETERS angstrom
-2.116 3.940 -0.124
-1.313 1.711 -3.919
-4.352 0.170 -1.021
! Total energy ... -9.17 eV/atom
! Symmetry ... No. 216
! D(E_F) ... 1.23 states/eV/atom
! Energy relative to the lowest polymorph listed for this composition ... 0 meV per atom
! Formation enthalpy at 0 K ... -0.48 eV per formula unit

> Number 2 is which compound?

Pu11Ga9Fe4